# 1
A plane-wave DFT calculation with PBE was carried out for TiZnPCl2 after structural relaxation.

abc: 4.675 4.675 5.071
angles: 90.00 90.00 90.00
Space group P4/mmm (No. 123)
One atom of each set of equivalent atoms:
1 Ti 0.000 0.000 0.000 [1 per cell]
2 Zn 0.500 0.500 0.500 [1 per cell]
3 P 0.000 0.000 0.500 [1 per cell]
4 Cl 0.000 0.500 0.000 [2 per cell]

Results
E: -4.090 eV/atom
Formation energy (no corrections): -41.98 kJ per mole of atoms
Relative energy among the computed polymorphs: 0 meV per atom
Total moment: 0.001 μB/atom

# 2
A plane-wave DFT calculation with PBE was carried out for TiZnP2Cl after structural relaxation.

abc: 4.627 4.627 4.497
angles: 90.00 90.00 90.00
Space group P4/mmm (No. 123)
One atom of each set of equivalent atoms:
1 Ti 0.000 0.000 0.000 [1 per cell]
2 Zn 0.500 0.500 0.000 [1 per cell]
3 P 0.000 0.500 0.500 [2 per cell]
4 Cl 0.500 0.500 0.500 [1 per cell]

Results
E: -3.380 eV/atom
Formation energy (no corrections): 95.27 kJ per mole of atoms
Relative energy among the computed polymorphs: 980 meV per atom
Total moment: 0.000 μB/atom

# 3
A plane-wave DFT calculation with PBE was carried out for Ti2ZnPCl after structural relaxation.

abc: 4.454 4.454 4.574
angles: 90.00 90.00 90.00
Space group P4/mmm (No. 123)
One atom of each set of equivalent atoms:
1 Ti 0.000 0.500 0.000 [2 per cell]
2 Zn 0.000 0.000 0.500 [1 per cell]
3 P 0.500 0.500 0.500 [1 per cell]
4 Cl 0.000 0.000 0.000 [1 per cell]

Results
E: -4.395 eV/atom
Formation energy (no corrections): 45.27 kJ per mole of atoms
Total moment: 0.000 μB/atom

# 4
A plane-wave DFT calculation with PBE was carried out for TiZnP2Cl after structural relaxation.

abc: 4.779 4.779 4.736
angles: 90.00 90.00 90.00
Space group P4/mmm (No. 123)
One atom of each set of equivalent atoms:
1 Ti 0.000 0.000 0.000 [1 per cell]
2 Zn 0.500 0.500 0.500 [1 per cell]
3 P 0.000 0.500 0.000 [2 per cell]
4 Cl 0.000 0.000 0.500 [1 per cell]

Results
E: -4.360 eV/atom
Formation energy (no corrections): 0.70 kJ per mole of atoms
Relative energy among the computed polymorphs: 0 meV per atom
Total moment: 0.000 μB/atom

# 5
A plane-wave DFT calculation with PBE was carried out for ZrTiPCl2 after structural relaxation.

abc: 4.871 4.871 5.257
angles: 90.00 90.00 90.00
Space group P4/mmm (No. 123)
One atom of each set of equivalent atoms:
1 Zr 0.000 0.000 0.000 [1 per cell]
2 Ti 0.500 0.500 0.500 [1 per cell]
3 P 0.000 0.000 0.500 [1 per cell]
4 Cl 0.000 0.500 0.000 [2 per cell]

Results
E: -5.245 eV/atom
Formation energy (no corrections): -13.12 kJ per mole of atoms
Relative energy among the computed polymorphs: 186 meV per atom
Total moment: 0.037 μB/atom

# 6
A plane-wave DFT calculation with PBE was carried out for ZrTi2PCl after structural relaxation.

abc: 5.056 5.056 4.653
angles: 90.00 90.00 90.00
Space group P4/mmm (No. 123)
One atom of each set of equivalent atoms:
1 Zr 0.000 0.000 0.000 [1 per cell]
2 Ti 0.000 0.500 0.000 [2 per cell]
3 P 0.500 0.500 0.500 [1 per cell]
4 Cl 0.000 0.000 0.500 [1 per cell]

Results
E: -5.422 eV/atom
Formation energy (no corrections): 86.57 kJ per mole of atoms
Total moment: 0.000 μB/atom

# 7
A plane-wave DFT calculation with PBE was carried out for ZrTiPCl2 after structural relaxation.

abc: 4.547 4.547 5.118
angles: 90.00 90.00 90.00
Space group P4/mmm (No. 123)
One atom of each set of equivalent atoms:
1 Zr 0.000 0.000 0.000 [1 per cell]
2 Ti 0.500 0.500 0.500 [1 per cell]
3 P 0.500 0.500 0.000 [1 per cell]
4 Cl 0.000 0.500 0.500 [2 per cell]

Results
E: -5.431 eV/atom
Formation energy (no corrections): -31.07 kJ per mole of atoms
Relative energy among the computed polymorphs: 0 meV per atom
Total moment: 0.324 μB/atom

# 8
A plane-wave DFT calculation with PBE was carried out for TlPCl6 after structural relaxation.

abc: 5.557 6.200 7.366
angles: 71.14 68.07 76.83
Space group P-1 (No. 2)
One atom of each set of equivalent atoms:
1 Tl 0.000 0.000 0.000 [1 per cell]
2 P 0.500 0.500 0.500 [1 per cell]
3 Cl 0.063 0.616 0.670 [2 per cell]
4 Cl 0.345 0.133 0.456 [2 per cell]
5 Cl 0.466 0.723 0.187 [2 per cell]

Results
E: -2.732 eV/atom
Formation energy (no corrections): -36.16 kJ per mole of atoms
Relative energy among the computed polymorphs: 248 meV per atom
Total moment: 0.000 μB/atom

# 9
A plane-wave DFT calculation with PBE was carried out for TlP2Cl after structural relaxation.

abc: 4.122 3.367 7.992
angles: 90.00 103.78 90.00
Space group Pm (No. 6)
One atom of each set of equivalent atoms:
1 Tl 0.000 0.000 0.000 [1 per cell]
2 P 0.547 0.000 0.403 [1 per cell]
3 P 0.867 0.500 0.394 [1 per cell]
4 Cl 0.415 0.500 0.816 [1 per cell]

Results
E: -3.938 eV/atom
Formation energy (no corrections): -17.37 kJ per mole of atoms
Relative energy among the computed polymorphs: 63 meV per atom
Total moment: 0.000 μB/atom

# 10
A plane-wave DFT calculation with PBE was carried out for TlPCl2 after structural relaxation.

abc: 3.3266 3.3266 29.7243
angles: 90.00 90.00 120.00
Space group R-3m (No. 166, hexagonal axes)
One atom of each set of equivalent atoms:
1 Tl 0.0000 0.0000 0.0000 [3 per cell]
2 P 0.0000 0.0000 0.5000 [3 per cell]
3 Cl 0.0000 0.0000 0.1000 [6 per cell]

Results
E: -2.635 eV/atom
Formation energy (no corrections): 22.38 kJ per mole of atoms
Relative energy among the computed polymorphs: 517 meV per atom
Total moment: 0.000 μB/atom

# 11
A plane-wave DFT calculation with PBE was carried out for TlP2Cl after structural relaxation.

abc: 3.368 8.694 10.105
angles: 90.00 90.00 90.00
Space group Cmm2 (No. 35)
One atom of each set of equivalent atoms:
1 Tl 0.000 0.000 0.000 [2 per cell]
2 P 0.000 0.000 0.527 [2 per cell]
3 P 0.000 0.500 0.661 [2 per cell]
4 Cl 0.000 0.500 0.210 [2 per cell]

Results
E: -3.794 eV/atom
Formation energy (no corrections): -3.45 kJ per mole of atoms
Relative energy among the computed polymorphs: 207 meV per atom
Total moment: 0.000 μB/atom

# 12
A plane-wave DFT calculation with PBE was carried out for TlP2Cl after structural relaxation.

abc: 6.033 3.483 10.221
angles: 90.00 101.19 90.00
Space group Cm (No. 8)
One atom of each set of equivalent atoms:
1 Tl 0.000 0.000 0.000 [2 per cell]
2 P 0.323 0.500 0.473 [2 per cell]
3 P 0.450 0.000 0.354 [2 per cell]
4 Cl 0.269 0.000 0.805 [2 per cell]

Results
E: -4.001 eV/atom
Formation energy (no corrections): -23.42 kJ per mole of atoms
Relative energy among the computed polymorphs: 0 meV per atom
Total moment: 0.000 μB/atom